{
  "formula": "Sb2MoIr",
  "functional": "PBE",
  "state": "optimized geometry",
  "polymorph_energy_kcal_per_mol_atoms": 2.18,
  "magmom_total_mub_per_cell": 0.00,
  "formation_energy_uncorrected_ev_per_atom": 0.170,
  "dft_energy_ev_per_atom": -6.814,
  "cell": [[9.7282, 0.0000, 0.0000], [0.0000, 3.4210, 0.0000], [-1.0915, 0.0000, 4.4805]],
  "species": ["Sb", "Sb", "Sb", "Sb", "Mo", "Mo", "Ir", "Ir"],
  "fractional_positions": [[0.0000, 0.0000, 0.0000], [0.2440, 0.0000, 0.6062], [0.5000, 0.5000, 0.0000], [0.7440, 0.5000, 0.6062], [0.2315, 0.5000, 0.0950], [0.7315, 0.0000, 0.0950], [0.0088, 0.5000, 0.5039], [0.5088, 0.0000, 0.5039]]
}

{
  "formula": "Sb2MoIr",
  "functional": "PBE",
  "state": "optimized geometry",
  "polymorph_energy_kcal_per_mol_atoms": 4.88,
  "magmom_total_mub_per_cell": 0.00,
  "formation_energy_uncorrected_ev_per_atom": 0.287,
  "dft_energy_ev_per_atom": -6.697,
  "cell": [[3.0828, 0.0000, 0.0000], [-1.5414, 2.6698, 0.0000], [0.0000, 0.0000, 31.7363]],
  "species": ["Sb", "Sb", "Sb", "Sb", "Sb", "Sb", "Mo", "Mo", "Mo", "Ir", "Ir", "Ir"],
  "fractional_positions": [[0.0000, 0.0000, 0.0000], [0.0000, 0.0000, 0.2050], [0.3333, 0.6667, 0.6667], [0.3333, 0.6667, 0.8717], [0.6667, 0.3333, 0.3333], [0.6667, 0.3333, 0.5383], [0.0000, 0.0000, 0.7378], [0.3333, 0.6667, 0.4045], [0.6667, 0.3333, 0.0711], [0.0000, 0.0000, 0.4698], [0.3333, 0.6667, 0.1364], [0.6667, 0.3333, 0.8031]]
}

{
  "formula": "Sb2MoIr",
  "functional": "PBE",
  "state": "optimized geometry",
  "polymorph_energy_kcal_per_mol_atoms": 2.92,
  "magmom_total_mub_per_cell": 0.00,
  "formation_energy_uncorrected_ev_per_atom": 0.202,
  "dft_energy_ev_per_atom": -6.782,
  "cell": [[3.0739, 0.0000, 0.0000], [0.0000, 4.2950, 0.0000], [0.0000, 0.0000, 5.7484]],
  "species": ["Sb", "Sb", "Mo", "Ir"],
  "fractional_positions": [[0.0000, 0.0000, 0.0000], [0.5000, 0.5000, 0.3610], [0.5000, 0.5000, 0.8330], [0.0000, 0.0000, 0.5299]]
}